(1)
! Zn3GaBr, optimized geometry, DFT PBE; values from VASP
! Space group = No. 221
! Theoretical density = 4.904 g/cm³
! Polymorph energy (0 for the lowest one) = 0 meV per atom
! Uncorrected formation energy = 13 kJ/mol of formula units
! Calculated volume = 117.1 Å³ per cell
! Uncorrected energy = -1.677 eV/atom
! Crystal system = cubic
&SYSTEM
  ibrav = 0, nat = 5, ntyp = 3
/
ATOMIC_SPECIES
Zn 65.41 Zn.upf
Ga 69.72 Ga.upf
Br 79.90 Br.upf
ATOMIC_POSITIONS crystal
Zn 0.000 0.500 0.000
Zn 0.000 0.000 0.500
Zn 0.500 0.000 0.000
Ga 0.000 0.000 0.000
Br 0.500 0.500 0.500
CELL_PARAMETERS angstrom
4.892 0.000 0.000
0.000 4.892 0.000
0.000 0.000 4.892

(2)
! Zn3GaBr9, optimized geometry, DFT PBE; values from VASP
! Space group = No. 9
! Theoretical density = 3.885 g/cm³
! Uncorrected formation energy = -932 kJ/mol of formula units
! Calculated volume = 842.1 Å³ per cell
! Uncorrected energy = -2.428 eV/atom
! Crystal system = monoclinic
&SYSTEM
  ibrav = 0, nat = 26, ntyp = 3
/
ATOMIC_SPECIES
Zn 65.41 Zn.upf
Ga 69.72 Ga.upf
Br 79.90 Br.upf
ATOMIC_POSITIONS crystal
Zn 0.809 0.570 0.678
Zn 0.943 0.070 0.178
Zn 0.002 0.938 0.826
Zn 0.235 0.438 0.326
Zn 0.571 0.243 0.733
Zn 0.453 0.743 0.233
Ga 0.015 0.509 0.006
Ga 0.469 0.009 0.506
Br 0.333 0.171 0.328
Br 0.168 0.671 0.828
Br 0.338 0.289 0.945
Br 0.427 0.789 0.445
Br 0.174 0.086 0.687
Br 0.053 0.586 0.187
Br 0.726 0.744 0.055
Br 0.474 0.244 0.555
Br 0.787 0.927 0.368
Br 0.918 0.427 0.868
Br 0.558 0.804 0.706
Br 0.932 0.304 0.206
Br 0.495 0.490 0.218
Br 0.797 0.990 0.718
Br 0.738 0.400 0.611
Br 0.251 0.900 0.111
Br 0.818 0.086 0.017
Br 0.079 0.586 0.517
CELL_PARAMETERS angstrom
-1.492 -8.689 2.678
2.740 -7.342 -6.446
8.762 -4.901 4.831

(3)
! ZnGaBr2, optimized geometry, DFT PBE; values from VASP
! Space group = No. 225
! Theoretical density = 4.854 g/cm³
! Polymorph energy (0 for the lowest one) = 92 meV per atom
! Uncorrected formation energy = -70 kJ/mol of formula units
! Calculated volume = 100.9 Å³ per cell
! Uncorrected energy = -2.092 eV/atom
! Crystal system = cubic
&SYSTEM
  ibrav = 0, nat = 4, ntyp = 3
/
ATOMIC_SPECIES
Zn 65.41 Zn.upf
Ga 69.72 Ga.upf
Br 79.90 Br.upf
ATOMIC_POSITIONS crystal
Zn 0.000 0.000 0.000
Ga 0.500 0.500 0.500
Br 0.250 0.250 0.250
Br 0.750 0.750 0.750
CELL_PARAMETERS angstrom
-2.666 -4.445 -0.665
-3.240 -1.687 3.737
-5.168 0.142 -0.762